Here is crystalline Sm2GeAu at its relaxed geometry from the Alexandria database. Energies are from PBE-GGA.

The energy is -5.06 eV/atom. The calculation puts the density of states at the Fermi level at 0.71 states/eV/atom. For the energy of formation from the pure elements, the calculation gives -730 meV per atom.

Cell lengths 3.6343, 3.6343, 7.4170 Å; angles 90.00, 90.00, 90.00 degrees
Closest atoms and distances in Å follow each position.
Positions (direct):
1 Ge 0.5000 0.5000 0.0000  8 Sm 3.15
2 Au 0.5000 0.5000 0.5000  8 Sm 3.18
3 Sm 0.0000 0.0000 0.7535  4 Ge 3.15, 4 Au 3.18
4 Sm 0.0000 0.0000 0.2465  4 Ge 3.15, 4 Au 3.18



Here is crystalline SrCo2CuW at its relaxed geometry from the Alexandria database. Energies are from PBE-GGA.

The energy is -4.83 eV/atom. The calculation puts the density of states at the Fermi level at 2.51 states/eV/atom. For the energy of formation from the pure elements, the calculation gives 1763 meV per atom.

Cell lengths 4.5064, 4.9609, 4.5064 Å; angles 90.00, 90.00, 90.00 degrees
Closest atoms and distances in Å follow each position.
Positions (direct):
1 Sr 0.0000 0.5000 0.0000  2 Cu 2.48
2 Co 0.0000 0.0000 0.5000  2 Cu 2.25
3 Co 0.5000 0.0000 0.0000  2 Cu 2.25
4 Cu 0.0000 0.0000 0.0000  4 Co 2.25, 2 Sr 2.48
5 W 0.5000 0.5000 0.5000  4 Sr 3.19, 8 Co 3.35



Here is crystalline Tb3PmThSc at its relaxed geometry from the Alexandria database. Energies are from PBE-GGA.

The energy is -5.36 eV/atom. The calculation puts the density of states at the Fermi level at 1.57 states/eV/atom. For the energy of formation from the pure elements, the calculation gives 41 meV per atom.

Cell lengths 5.0253, 7.8804, 10.5432 Å; angles 116.37, 90.00, 90.00 degrees
Closest atoms and distances in Å follow each position.
Positions (direct):
1 Tb 0.7500 0.8703 0.0471  1 Sc 3.43, 3 Th 3.48-3.49, 3 Pm 3.54-3.65, 5 Tb 3.59-3.65
2 Tb 0.2500 0.1297 0.9529  1 Sc 3.43, 3 Th 3.48-3.49, 3 Pm 3.54-3.65, 5 Tb 3.59-3.65
3 Tb 0.2500 0.6351 0.4578  3 Sc 3.47-3.48, 1 Th 3.48, 3 Pm 3.50-3.62, 5 Tb 3.53-3.65
4 Tb 0.7500 0.3649 0.5422  3 Sc 3.47-3.48, 1 Th 3.48, 3 Pm 3.50-3.62, 5 Tb 3.53-3.65
5 Tb 0.7500 0.3876 0.2095  1 Sc 3.43, 3 Th 3.47-3.48, 6 Tb 3.53-3.65, 2 Pm 3.64
6 Tb 0.2500 0.6124 0.7905  1 Sc 3.43, 3 Th 3.47-3.48, 6 Tb 3.53-3.65, 2 Pm 3.64
7 Pm 0.2500 0.1223 0.2970  3 Sc 3.46-3.50, 8 Tb 3.50-3.65, 1 Th 3.53
8 Pm 0.7500 0.8777 0.7030  3 Sc 3.46-3.50, 8 Tb 3.50-3.65, 1 Th 3.53
9 Th 0.2500 0.6231 0.1242  7 Tb 3.47-3.49, 2 Th 3.52, 1 Pm 3.53, 2 Sc 3.53
10 Th 0.7500 0.3769 0.8758  7 Tb 3.47-3.49, 2 Th 3.52, 1 Pm 3.53, 2 Sc 3.53
11 Sc 0.2500 0.1269 0.6268  5 Tb 3.43-3.48, 3 Pm 3.46-3.50, 2 Th 3.53, 2 Sc 3.57
12 Sc 0.7500 0.8731 0.3732  5 Tb 3.43-3.48, 3 Pm 3.46-3.50, 2 Th 3.53, 2 Sc 3.57



Here is crystalline Hf5In2Pd12 at its relaxed geometry from the Alexandria database. Energies are from PBE-GGA.

The energy is -6.64 eV/atom. The calculation puts the density of states at the Fermi level at 0.48 states/eV/atom. For the energy of formation from the pure elements, the calculation gives -455 meV per atom.

Cell lengths 5.5298, 8.2906, 9.0162 Å; angles 108.70, 90.00, 109.48 degrees
Closest atoms and distances in Å follow each position.
Positions (direct):
1 Hf 0.3177 0.6354 0.6439  7 Pd 2.66-2.75
2 Hf 0.3548 0.7096 0.1473  7 Pd 2.55-2.75
3 Hf 0.0000 0.0000 0.5000  6 Pd 2.72-2.82
4 Hf 0.6452 0.2904 0.8527  7 Pd 2.55-2.75
5 Hf 0.6823 0.3646 0.3561  7 Pd 2.66-2.75
6 In 0.7511 0.0000 0.0000  2 In 2.75-2.78, 4 Pd 2.88-2.95
7 In 0.2489 0.0000 0.0000  2 In 2.75-2.78, 4 Pd 2.88-2.95
8 Pd 0.1028 0.2056 0.2970  3 Hf 2.82-3.00, 4 Pd 2.89-2.93, 2 In 2.95
9 Pd 0.0466 0.6089 0.8894  3 Hf 2.61-2.75, 4 Pd 2.68-2.89, 1 In 2.88
10 Pd 0.5623 0.6089 0.8894  3 Hf 2.61-2.75, 4 Pd 2.68-2.89, 1 In 2.88
11 Pd 0.0901 0.6813 0.3980  4 Hf 2.72-2.75, 5 Pd 2.76-2.93
12 Pd 0.5912 0.6813 0.3980  4 Hf 2.72-2.75, 5 Pd 2.76-2.93
13 Pd 0.4874 0.9748 0.6416  2 Hf 2.55-2.66, 1 Pd 2.71
14 Pd 0.5126 0.0252 0.3584  2 Hf 2.55-2.66, 1 Pd 2.71
15 Pd 0.9099 0.3187 0.6020  4 Hf 2.72-2.75, 5 Pd 2.76-2.93
16 Pd 0.4088 0.3187 0.6020  4 Hf 2.72-2.75, 5 Pd 2.76-2.93
17 Pd 0.9534 0.3911 0.1106  3 Hf 2.61-2.75, 4 Pd 2.68-2.89, 1 In 2.88
18 Pd 0.4377 0.3911 0.1106  3 Hf 2.61-2.75, 4 Pd 2.68-2.89, 1 In 2.88
19 Pd 0.8972 0.7944 0.7030  3 Hf 2.82-3.00, 4 Pd 2.89-2.93, 2 In 2.95



Here is crystalline Er4Tm5Sc2 at its relaxed geometry from the Alexandria database. Energies are from PBE-GGA.

Its distance to the lowest polymorph of the same formula is 0.000 eV/atom. The energy is -4.80 eV/atom. The calculation puts the density of states at the Fermi level at 1.51 states/eV/atom. For the energy of formation from the pure elements, the calculation gives 39 meV per atom.

Cell lengths 4.8901, 5.9791, 17.2776 Å; angles 79.99, 135.05, 114.15 degrees
Closest atoms and distances in Å follow each position.
Positions (direct):
1 Er 0.3243 0.4585 0.6381  8 Tm 3.44-3.49, 2 Sc 3.44, 2 Er 3.45-3.48
2 Er 0.9564 0.3633 0.9099  4 Sc 3.43-3.46, 5 Tm 3.44-3.45, 3 Er 3.44-3.45
3 Er 0.6757 0.5415 0.3619  8 Tm 3.44-3.49, 2 Sc 3.44, 2 Er 3.45-3.48
4 Er 0.0436 0.6367 0.0901  4 Sc 3.43-3.46, 5 Tm 3.44-3.45, 3 Er 3.44-3.45
5 Tm 0.8710 0.0922 0.7300  4 Tm 3.42-3.50, 5 Er 3.44-3.47, 3 Sc 3.44-3.45
6 Tm 0.1290 0.9078 0.2700  4 Tm 3.42-3.50, 5 Er 3.44-3.47, 3 Sc 3.44-3.45
7 Tm 0.7785 0.8198 0.5475  1 Sc 3.44, 5 Er 3.44-3.49, 6 Tm 3.46-3.50
8 Tm 0.5000 0.0000 0.0000  2 Tm 3.42, 4 Sc 3.45, 6 Er 3.45
9 Tm 0.2215 0.1802 0.4525  1 Sc 3.44, 5 Er 3.44-3.49, 6 Tm 3.46-3.50
10 Sc 0.4113 0.7273 0.8190  6 Er 3.43-3.46, 6 Tm 3.44-3.45
11 Sc 0.5887 0.2727 0.1810  6 Er 3.43-3.46, 6 Tm 3.44-3.45



Here is crystalline La6Pm3Sm2Mg at its relaxed geometry from the Alexandria database. Energies are from PBE-GGA.

The energy is -4.56 eV/atom. The calculation puts the density of states at the Fermi level at 1.34 states/eV/atom. For the energy of formation from the pure elements, the calculation gives 15 meV per atom.

Cell lengths 6.3652, 6.3652, 12.0554 Å; angles 95.10, 95.10, 120.12 degrees
Closest atoms and distances in Å follow each position.
Positions (direct):
1 La 0.9184 0.5881 0.7529  1 Mg 3.60, 2 Sm 3.62-3.63, 6 La 3.64-3.69, 3 Pm 3.67-3.68
2 La 0.7519 0.7519 0.2484  1 Mg 3.62, 2 Sm 3.63, 6 La 3.64-3.69, 3 Pm 3.66-3.67
3 La 0.0816 0.4119 0.2471  1 Mg 3.60, 2 Sm 3.62-3.63, 6 La 3.64-3.69, 3 Pm 3.67-3.68
4 La 0.5881 0.9184 0.7529  1 Mg 3.60, 2 Sm 3.62-3.63, 6 La 3.64-3.69, 3 Pm 3.67-3.68
5 La 0.2481 0.2481 0.7516  1 Mg 3.62, 2 Sm 3.63, 6 La 3.64-3.69, 3 Pm 3.66-3.67
6 La 0.4119 0.0816 0.2471  1 Mg 3.60, 2 Sm 3.62-3.63, 6 La 3.64-3.69, 3 Pm 3.67-3.68
7 Pm 0.1674 0.8326 0.5000  6 La 3.66-3.68, 6 Pm 3.66-3.69
8 Pm 0.8326 0.1674 0.5000  6 La 3.66-3.68, 6 Pm 3.66-3.69
9 Pm 0.5000 0.5000 0.5000  6 La 3.67, 6 Pm 3.67
10 Sm 0.3332 0.6668 0.0000  6 La 3.62-3.63, 3 Sm 3.67-3.68, 3 Mg 3.67-3.68
11 Sm 0.6668 0.3332 0.0000  6 La 3.62-3.63, 3 Sm 3.67-3.68, 3 Mg 3.67-3.68
12 Mg 0.0000 0.0000 0.0000  6 La 3.60-3.62, 6 Sm 3.67-3.68



energy of formation from the pure elements of number 2 (SrCo2CuW)?
1763 meV per atom



What is the energy of formation from the pure elements in the sixth record?
15 meV per atom



The highest energy belongs to which entry?
La6Pm3Sm2Mg